PBE Ce2MgF11, optimized geometry; volume = 17.03 Å³/atom; mass density = 3.58 g/cm3; space-group type = Ibam; energy relative to the elements, uncorrected = -3.32 eV/atom
1.0
-6.930 3.301 -4.470
-5.814 -5.160 -3.623
-7.562 1.274 3.839
F Mg Ce
22 2 4
Cartesian
-5.934 0.766 -3.456 F
-2.849 0.470 0.333 F
-12.636 -1.171 -3.358 F
-14.184 1.002 -2.373 F
-11.278 1.281 -1.262 F
-9.186 -1.413 -5.829 F
-9.028 -1.866 -2.992 F
-12.266 -1.049 -6.195 F
-14.372 -1.351 -0.798 F
-8.040 0.464 1.940 F
-9.523 -1.480 0.450 F
-9.382 2.766 0.311 F
-6.122 -1.587 -1.881 F
-10.924 -3.351 -4.566 F
-10.783 0.895 -4.705 F
-7.670 0.586 -0.897 F
-14.791 -0.224 -5.088 F
0.000 0.000 0.000 F
-5.515 -0.361 0.833 F
-17.457 -1.055 -4.588 F
-11.120 0.828 1.575 F
-10.153 -0.293 -2.127 F
-15.230 -0.439 -3.191 Mg
-5.077 -0.146 -1.064 Mg
-7.221 -3.301 -2.708 Ce
-13.085 2.716 -1.547 Ce
-10.818 -1.164 -4.379 Ce
-9.488 0.579 0.124 Ce